(1)
TlHg3H4: relaxed, PBE-GGA.

abc: 11.5334 11.5334 11.5334
angles: 164.15 152.07 32.28
Positions (direct):
Tl1 0.0000 0.0000 0.0000
Hg1 0.3651 0.8651 0.5000
Hg2 0.5000 0.5000 0.0000
Hg3 0.6349 0.1349 0.5000
H1 0.2082 0.5901 0.3818
H2 0.2082 0.8264 0.6182
H3 0.7918 0.1736 0.3818
H4 0.7918 0.4099 0.6182

Results
E_tot: -2.02 eV/atom
DOS at the Fermi energy: 2.28 states/eV/cell
V: 196 Å³/cell



(2)
Sc4GeAuN: relaxed, PBE-GGA.

abc: 7.5993 7.5993 6.1267
angles: 90.00 90.00 132.17
Positions (direct):
Sc1 0.0000 0.5000 0.0000
Sc2 0.0000 0.5000 0.5000
Sc3 0.0800 0.9200 0.7500
Sc4 0.4162 0.5838 0.7500
Sc5 0.5000 0.0000 0.0000
Sc6 0.5000 0.0000 0.5000
Sc7 0.5838 0.4162 0.2500
Sc8 0.9200 0.0800 0.2500
Ge1 0.3841 0.6159 0.2500
Ge2 0.6159 0.3841 0.7500
Au1 0.1133 0.8867 0.2500
Au2 0.8867 0.1133 0.7500
N1 0.2516 0.7484 0.7500
N2 0.7484 0.2516 0.2500

Results
DOS at the Fermi energy: 6.46 states/eV/cell
V: 262 Å³/cell
Energy relative to the elements, uncorrected: -7.3 eV per formula unit



(3)
Sr2CuCO5: relaxed, PBE-GGA.

abc: 3.6958 7.5541 4.3766
angles: 90.00 90.00 90.00
Positions (direct):
Sr1 0.0000 0.2271 0.0000
Sr2 0.0000 0.7729 0.0000
Cu1 0.5000 0.0000 0.4980
C1 0.5000 0.5000 0.4759
O1 0.0000 0.0000 0.5295
O2 0.5000 0.0000 0.0266
O3 0.5000 0.3489 0.6171
O4 0.5000 0.5000 0.1781
O5 0.5000 0.6511 0.6171

Results
DOS at the Fermi energy: 0.83 states/eV/cell
V: 122 Å³/cell
Energy relative to the elements, uncorrected: -17.4 eV per formula unit
Distance to the lowest polymorph of the same formula: 71.1 meV/atom



(4)
Sn2As2Pd7: relaxed, PBE-GGA.

abc: 6.0579 6.0579 5.6056
angles: 98.13 98.13 81.04
Positions (direct):
Sn1 0.1916 0.8084 0.0000
Sn2 0.8084 0.1916 0.0000
As1 0.2688 0.2688 0.4307
As2 0.7312 0.7312 0.5693
Pd1 0.0000 0.0000 0.5000
Pd2 0.0298 0.4371 0.7517
Pd3 0.4371 0.0298 0.7517
Pd4 0.4882 0.4882 0.2431
Pd5 0.5118 0.5118 0.7569
Pd6 0.5629 0.9702 0.2483
Pd7 0.9702 0.5629 0.2483

Results
E_tot: -5.23 eV/atom
DOS at the Fermi energy: 4.94 states/eV/cell
V: 200 Å³/cell



(5)
Rb2GaSeI6: relaxed, PBE-GGA.

abc: 8.3926 8.3926 8.3926
angles: 119.77 119.77 90.39
Positions (direct):
Rb1 0.2500 0.7500 0.5000
Rb2 0.7500 0.2500 0.5000
Ga1 0.0000 0.0000 0.0000
Se1 0.5000 0.5000 0.0000
I1 0.2370 0.2370 0.4741
I2 0.2370 0.7630 0.0000
I3 0.2631 0.2631 0.0000
I4 0.7369 0.7369 0.0000
I5 0.7630 0.2370 0.0000
I6 0.7630 0.7630 0.5259

Results
DOS at the Fermi energy: 2.41 states/eV/cell
V: 419 Å³/cell
Energy relative to the elements, uncorrected: -6.6 eV per formula unit



(6)
CaTh2Co: relaxed, PBE-GGA.

abc: 9.8172 9.8172 9.8172
angles: 22.87 22.87 22.87
Positions (direct):
Ca1 0.0000 0.0000 0.0000
Th1 0.2206 0.2206 0.2206
Th2 0.4472 0.4472 0.4472
Co1 0.8345 0.8345 0.8345

Results
DOS at the Fermi energy: 4.74 states/eV/cell
V: 125 Å³/cell
Distance to the lowest polymorph of the same formula: 0.0 meV/atom